(1)
{
  "formula": "TaHgNO",
  "functional": "PBE-GGA",
  "state": "optimized geometry",
  "density_g_cm3": 12.86,
  "volume_a3_per_atom": 13.286,
  "relative_energy_kj_per_mol_atoms": 105.75,
  "lattice_angstrom": [[3.8313, 0.0000, 0.0000], [0.0000, 3.8313, 0.0000], [0.0000, 0.0000, 7.2408]],
  "species": ["Ta", "Ta", "Hg", "Hg", "N", "N", "O", "O"],
  "fractional_positions": [[0.2500, 0.2500, 0.1149], [0.7500, 0.7500, 0.8851], [0.2500, 0.7500, 0.5000], [0.7500, 0.2500, 0.5000], [0.2500, 0.2500, 0.8096], [0.7500, 0.7500, 0.1904], [0.2500, 0.7500, 0.0000], [0.7500, 0.2500, 0.0000]]
}

(2)
{
  "formula": "PmFeAs",
  "functional": "PBE-GGA",
  "state": "optimized geometry",
  "density_g_cm3": 5.96,
  "volume_a3_per_atom": 25.624,
  "dft_energy_ev_per_atom": -5.608,
  "lattice_angstrom": [[6.7496, 0.0000, 0.0000], [0.0000, 6.7496, 0.0000], [0.0000, 0.0000, 6.7496]],
  "species": ["Pm", "Pm", "Pm", "Pm", "Fe", "Fe", "Fe", "Fe", "As", "As", "As", "As"],
  "fractional_positions": [[0.0000, 0.0000, 0.0000], [0.0000, 0.5000, 0.5000], [0.5000, 0.0000, 0.5000], [0.5000, 0.5000, 0.0000], [0.2500, 0.2500, 0.2500], [0.2500, 0.7500, 0.7500], [0.7500, 0.2500, 0.7500], [0.7500, 0.7500, 0.2500], [0.2500, 0.2500, 0.7500], [0.2500, 0.7500, 0.2500], [0.7500, 0.2500, 0.2500], [0.7500, 0.7500, 0.7500]]
}

(3)
{
  "formula": "NpSi",
  "functional": "PBE-GGA",
  "state": "optimized geometry",
  "density_g_cm3": 9.72,
  "volume_a3_per_atom": 22.638,
  "dft_energy_ev_per_atom": -9.063,
  "lattice_angstrom": [[4.4806, 0.0000, 0.0000], [-2.2403, 3.8803, 0.0000], [0.0000, 0.0000, 5.2082]],
  "species": ["Np", "Np", "Si", "Si"],
  "fractional_positions": [[0.3333, 0.6667, 0.2500], [0.6667, 0.3333, 0.7500], [0.0000, 0.0000, 0.0000], [0.0000, 0.0000, 0.5000]]
}

(4)
{
  "formula": "PrMgPO",
  "functional": "PBE-GGA",
  "state": "optimized geometry",
  "density_g_cm3": 4.62,
  "volume_a3_per_atom": 19.065,
  "dft_energy_ev_per_atom": -6.105,
  "lattice_angstrom": [[4.1170, 0.0000, 0.0000], [0.0000, 4.1170, 0.0000], [0.0000, 0.0000, 8.9986]],
  "species": ["Pr", "Pr", "Mg", "Mg", "P", "P", "O", "O"],
  "fractional_positions": [[0.2500, 0.2500, 0.1299], [0.7500, 0.7500, 0.8701], [0.2500, 0.7500, 0.5000], [0.7500, 0.2500, 0.5000], [0.2500, 0.2500, 0.6702], [0.7500, 0.7500, 0.3298], [0.2500, 0.7500, 0.0000], [0.7500, 0.2500, 0.0000]]
}

(5)
{
  "formula": "Na3Au",
  "functional": "PBE-GGA",
  "state": "optimized geometry",
  "density_g_cm3": 4.08,
  "volume_a3_per_atom": 27.075,
  "dft_energy_ev_per_atom": -2.012,
  "lattice_angstrom": [[4.5449, 0.0000, 0.0000], [0.0000, 10.4948, 0.0000], [0.0000, 0.0000, 9.0823]],
  "species": ["Na", "Na", "Na", "Na", "Na", "Na", "Na", "Na", "Na", "Na", "Na", "Na", "Au", "Au", "Au", "Au"],
  "fractional_positions": [[0.0000, 0.0542, 0.2500], [0.0000, 0.3495, 0.0615], [0.0000, 0.3495, 0.4385], [0.0000, 0.6505, 0.5615], [0.0000, 0.6505, 0.9385], [0.0000, 0.9458, 0.7500], [0.5000, 0.1505, 0.5615], [0.5000, 0.1505, 0.9385], [0.5000, 0.4458, 0.7500], [0.5000, 0.5542, 0.2500], [0.5000, 0.8495, 0.0615], [0.5000, 0.8495, 0.4385], [0.0000, 0.2464, 0.7500], [0.0000, 0.7536, 0.2500], [0.5000, 0.2536, 0.2500], [0.5000, 0.7464, 0.7500]]
}

(6)
{
  "formula": "Ba3Zn2Mo2",
  "functional": "PBE-GGA",
  "state": "optimized geometry",
  "density_g_cm3": 5.40,
  "volume_a3_per_atom": 32.263,
  "dft_energy_ev_per_atom": -3.875,
  "lattice_angstrom": [[2.3434, 1.3529, 11.8723], [-2.3434, 1.3529, 11.8723], [0.0000, -2.7059, 11.8723]],
  "species": ["Ba", "Ba", "Ba", "Zn", "Zn", "Mo", "Mo"],
  "fractional_positions": [[0.0000, 0.0000, 0.0000], [0.2337, 0.2337, 0.2337], [0.7363, 0.7363, 0.7363], [0.4273, 0.4273, 0.4273], [0.8333, 0.8333, 0.8333], [0.1449, 0.1449, 0.1449], [0.4947, 0.4947, 0.4947]]
}

(7)
{
  "formula": "Zr2Nb4Pb3C3",
  "functional": "PBE-GGA",
  "state": "optimized geometry",
  "density_g_cm3": 9.54,
  "volume_a3_per_atom": 17.568,
  "dft_energy_ev_per_atom": -8.408,
  "lattice_angstrom": [[5.0519, -2.9206, 0.0000], [5.0519, 2.9206, 0.0000], [-3.3733, 0.0000, 14.2880]],
  "species": ["Zr", "Zr", "Zr", "Zr", "Nb", "Nb", "Nb", "Nb", "Nb", "Nb", "Nb", "Nb", "Pb", "Pb", "Pb", "Pb", "Pb", "Pb", "C", "C", "C", "C", "C", "C"],
  "fractional_positions": [[0.0286, 0.8647, 0.5861], [0.1353, 0.9714, 0.9139], [0.8647, 0.0286, 0.0861], [0.9714, 0.1353, 0.4139], [0.1924, 0.3558, 0.0754], [0.3052, 0.4767, 0.4246], [0.3558, 0.1924, 0.5754], [0.4767, 0.3052, 0.9246], [0.5233, 0.6948, 0.0754], [0.6442, 0.8076, 0.4246], [0.6948, 0.5233, 0.5754], [0.8076, 0.6442, 0.9246], [0.0840, 0.2646, 0.7507], [0.2646, 0.0840, 0.2507], [0.4311, 0.5689, 0.7500], [0.5689, 0.4311, 0.2500], [0.7354, 0.9160, 0.7493], [0.9160, 0.7354, 0.2493], [0.0000, 0.5000, 0.5000], [0.1686, 0.6632, 0.0000], [0.3368, 0.8314, 0.5000], [0.5000, 0.0000, 0.0000], [0.6632, 0.1686, 0.5000], [0.8314, 0.3368, 0.0000]]
}

(8)
{
  "formula": "LiErPO",
  "functional": "PBE-GGA",
  "state": "optimized geometry",
  "density_g_cm3": 5.66,
  "volume_a3_per_atom": 16.223,
  "relative_energy_kj_per_mol_atoms": 0.00,
  "lattice_angstrom": [[3.7130, 0.0000, 0.0000], [0.0000, 3.7130, 0.0000], [0.0000, 0.0000, 9.4141]],
  "species": ["Li", "Li", "Er", "Er", "P", "P", "O", "O"],
  "fractional_positions": [[0.2500, 0.7500, 0.0000], [0.7500, 0.2500, 0.0000], [0.2500, 0.2500, 0.3775], [0.7500, 0.7500, 0.6225], [0.2500, 0.2500, 0.8148], [0.7500, 0.7500, 0.1852], [0.2500, 0.7500, 0.5000], [0.7500, 0.2500, 0.5000]]
}